Below is crystalline LiY2Co at its relaxed geometry, with properties calculated at the PBE-GGA level.

Cell and atoms, written as POSCAR:
```
LiY2Co
1.0
-1.6600 2.3689 5.6992
1.6600 -2.3689 5.6992
1.6600 2.3689 -5.6992
Li Y Co
1 2 1
direct
0.0000 0.0000 0.0000
0.3257 0.8257 0.5000
0.6224 0.6224 0.0000
0.8141 0.3141 0.5000
```

Computed properties:
**Space-group type**: Imm2
**ΔH_f (0 K)**: 7 kJ/mol of atoms
**Calculated total energy**: -21.7 eV/f.u.


Below is crystalline LiY2Co at its relaxed geometry, with properties calculated at the PBE-GGA level.

Cell and atoms, written as POSCAR:
```
LiY2Co
1.0
3.3420 -1.9092 0.0000
3.3420 1.9092 0.0000
-2.1173 0.0000 8.3080
Li Y Co
1 2 1
direct
0.0000 0.0000 0.0000
0.2240 0.2240 0.6767
0.7760 0.7760 0.3233
0.5000 0.5000 0.5000
```

Computed properties:
**Space-group type**: C2/m
**ΔH_f (0 K)**: 2 kJ/mol of atoms
**Calculated total energy**: -21.9 eV/f.u.


Below is crystalline Li2Y2Co15 at its relaxed geometry, with properties calculated at the PBE-GGA level.

Cell and atoms, written as POSCAR:
```
Li2Y2Co15
1.0
4.1891 2.4186 3.9999
-4.1891 2.4186 3.9999
0.0000 -4.8371 3.9999
Li Y Co
2 2 15
direct
0.0965 0.0965 0.0965
0.9035 0.9035 0.9035
0.3440 0.3440 0.3440
0.6560 0.6560 0.6560
0.0000 0.0000 0.5000
0.0000 0.2916 0.7084
0.0000 0.5000 0.0000
0.0000 0.7084 0.2916
0.1565 0.6521 0.6521
0.2916 0.0000 0.7084
0.2916 0.7084 0.0000
0.3479 0.3479 0.8435
0.3479 0.8435 0.3479
0.5000 0.0000 0.0000
0.6521 0.1565 0.6521
0.6521 0.6521 0.1565
0.7084 0.0000 0.2916
0.7084 0.2916 0.0000
0.8435 0.3479 0.3479
```

Computed properties:
**Space-group type**: R-3m
**ΔH_f (0 K)**: -7 kJ/mol of atoms
**Calculated total energy**: -124.7 eV/f.u.


Below is crystalline Li2Y2Co at its relaxed geometry, with properties calculated at the PBE-GGA level.

Cell and atoms, written as POSCAR:
```
Li2Y2Co
1.0
6.6899 0.0000 0.0000
0.0000 6.6899 0.0000
0.0000 0.0000 4.5337
Li Y Co
4 4 2
direct
0.1270 0.3730 0.0000
0.3730 0.8730 0.0000
0.6270 0.1270 0.0000
0.8730 0.6270 0.0000
0.1950 0.6950 0.5000
0.3050 0.1950 0.5000
0.6950 0.8050 0.5000
0.8050 0.3050 0.5000
0.0000 0.0000 0.0000
0.5000 0.5000 0.0000
```

Computed properties:
**Space-group type**: P4/mbm
**ΔH_f (0 K)**: 30 kJ/mol of atoms
**Calculated total energy**: -22.3 eV/f.u.


Below is crystalline LiY4Co at its relaxed geometry, with properties calculated at the PBE-GGA level.

Cell and atoms, written as POSCAR:
```
LiY4Co
1.0
4.3959 -6.1396 0.0000
4.3959 6.1396 0.0000
-1.6229 0.0000 5.9203
Li Y Co
2 8 2
direct
0.1256 0.8744 0.7500
0.8744 0.1256 0.2500
0.1272 0.3032 0.8989
0.2349 0.5660 0.4612
0.3032 0.1272 0.3989
0.4340 0.7651 0.0388
0.5660 0.2349 0.9612
0.6968 0.8728 0.6011
0.7651 0.4340 0.5388
0.8728 0.6968 0.1011
0.4986 0.5014 0.2500
0.5014 0.4986 0.7500
```

Computed properties:
**Energy above the most stable polymorph in this dataset**: 0 kJ/mol of formula units
**Space-group type**: C2/c
**ΔH_f (0 K)**: -2 kJ/mol of atoms
**Calculated total energy**: -35.0 eV/f.u.


Below is crystalline LiY2Co at its relaxed geometry, with properties calculated at the PBE-GGA level.

Cell and atoms, written as POSCAR:
```
LiY2Co
1.0
0.0000 3.4221 3.4221
3.4221 0.0000 3.4221
3.4221 3.4221 0.0000
Li Y Co
1 2 1
direct
0.0000 0.0000 0.0000
0.2500 0.2500 0.2500
0.5000 0.5000 0.5000
0.7500 0.7500 0.7500
```

Computed properties:
**Space-group type**: F-43m
**ΔH_f (0 K)**: 32 kJ/mol of atoms
**Calculated total energy**: -20.6 eV/f.u.


Below is crystalline LiY2Co2 at its relaxed geometry, with properties calculated at the PBE-GGA level.

Cell and atoms, written as POSCAR:
```
LiY2Co2
1.0
7.0947 0.0000 0.0000
0.0000 7.0947 0.0000
0.0000 0.0000 3.8604
Li Y Co
2 4 4
direct
0.0000 0.0000 0.0000
0.5000 0.5000 0.0000
0.1773 0.3227 0.5000
0.3227 0.8227 0.5000
0.6773 0.1773 0.5000
0.8227 0.6773 0.5000
0.1132 0.6132 0.0000
0.3868 0.1132 0.0000
0.6132 0.8868 0.0000
0.8868 0.3868 0.0000
```

Computed properties:
**Energy above the most stable polymorph in this dataset**: 0 kJ/mol of formula units
**Space-group type**: P4/mbm
**ΔH_f (0 K)**: -5 kJ/mol of atoms
**Calculated total energy**: -29.3 eV/f.u.


Below is crystalline LiY2Co at its relaxed geometry, with properties calculated at the PBE-GGA level.

Cell and atoms, written as POSCAR:
```
LiY2Co
1.0
4.8749 0.0000 0.0000
0.0000 4.8749 0.0000
0.0000 0.0000 3.5050
Li Y Co
1 2 1
direct
0.0000 0.0000 0.0000
0.0000 0.5000 0.5000
0.5000 0.0000 0.5000
0.5000 0.5000 0.0000
```

Computed properties:
**Space-group type**: P4/mmm
**ΔH_f (0 K)**: 1 kJ/mol of atoms
**Calculated total energy**: -21.9 eV/f.u.


Below is crystalline LiY2Co at its relaxed geometry, with properties calculated at the PBE-GGA level.

Cell and atoms, written as POSCAR:
```
LiY2Co
1.0
4.3891 0.0000 0.0000
0.0000 1.9055 5.1897
0.0000 -1.9055 5.1897
Li Y Co
1 2 1
direct
0.0000 0.0000 0.0000
0.0000 0.2953 0.2953
0.5000 0.5753 0.5753
0.5000 0.8633 0.8633
```

Computed properties:
**Space-group type**: Amm2
**ΔH_f (0 K)**: 5 kJ/mol of atoms
**Calculated total energy**: -21.7 eV/f.u.


Below is crystalline LiY2ZnCo at its relaxed geometry, with properties calculated at the PBE-GGA level.

Cell and atoms, written as POSCAR:
```
LiY2ZnCo
1.0
5.0872 0.0000 0.0000
0.0000 5.0872 0.0000
0.0000 0.0000 4.7328
Li Y Zn Co
1 2 1 1
direct
0.0000 0.0000 0.0000
0.0000 0.5000 0.5000
0.5000 0.0000 0.5000
0.5000 0.5000 0.0000
0.5000 0.5000 0.5000
```

Computed properties:
**Space-group type**: P4/mmm
**ΔH_f (0 K)**: -1 kJ/mol of atoms
**Calculated total energy**: -23.3 eV/f.u.


Below is crystalline LiZn2Co at its relaxed geometry, with properties calculated at the PBE-GGA level.

Cell and atoms, written as POSCAR:
```
LiZn2Co
1.0
-1.8212 1.8212 8.6804
1.8212 -1.8212 8.6804
1.8212 1.8212 -8.6804
Li Zn Co
2 4 2
direct
0.0000 0.0000 0.0000
0.7500 0.2500 0.5000
0.1367 0.6250 0.0117
0.3750 0.3867 0.5117
0.6133 0.1250 0.9883
0.8750 0.8633 0.4883
0.2500 0.7500 0.5000
0.5000 0.5000 0.0000
```

Computed properties:
**Space-group type**: I-42d
**ΔH_f (0 K)**: 28 kJ/mol of atoms
**Calculated total energy**: -10.4 eV/f.u.


Below is crystalline Li2Zn8Co at its relaxed geometry, with properties calculated at the PBE-GGA level.

Cell and atoms, written as POSCAR:
```
Li2Zn8Co
1.0
7.6637 -1.3897 0.0000
7.6637 1.3897 0.0000
-1.3285 0.0000 7.4753
Li Zn Co
2 8 1
direct
0.2333 0.2333 0.1693
0.7667 0.7667 0.8307
0.0507 0.0507 0.2546
0.1143 0.1143 0.6987
0.3220 0.3220 0.5433
0.4074 0.4074 0.0192
0.5926 0.5926 0.9808
0.6780 0.6780 0.4567
0.8857 0.8857 0.3013
0.9493 0.9493 0.7454
0.5000 0.5000 0.5000
```

Computed properties:
**Space-group type**: C2/m
**ΔH_f (0 K)**: -6 kJ/mol of atoms
**Calculated total energy**: -21.9 eV/f.u.